Material: Y2ZnSi3Ni4
Method: DFT, GGA-PBE
State: relaxed

Properties
For the total DFT energy (no corrections), the calculation gives -6.101 eV/atom. The value obtained for the density of states at the Fermi level is 0.6763 states/eV/atom.

Geometry as POSCAR:
```
Y2ZnSi3Ni4
1.0
3.996 0.000 0.000
0.000 3.996 0.000
0.000 0.000 9.566
Y Zn Si Ni
2 1 3 4
Cartesian
0.000 1.998 2.375
1.998 0.000 7.191
0.000 0.000 4.783
0.000 1.998 8.355
1.998 0.000 1.211
1.998 1.998 4.783
0.000 0.000 0.000
0.000 1.998 6.077
1.998 0.000 3.488
1.998 1.998 0.000
```

Material: Cd3NiSb
Method: DFT, GGA-PBE
State: relaxed

Properties
For the total DFT energy (no corrections), the calculation gives -2.244 eV/atom. The value obtained for the density of states at the Fermi level is 0.5334 states/eV/atom.

Geometry as POSCAR:
```
Cd3NiSb
1.0
4.957 0.000 0.000
0.000 4.957 0.000
0.000 0.000 4.957
Cd Ni Sb
3 1 1
Cartesian
0.000 0.000 2.478
0.000 2.478 0.000
2.478 0.000 0.000
0.000 0.000 0.000
2.478 2.478 2.478
```

Material: In2FeNi
Method: DFT, GGA-PBE
State: relaxed

Properties
The value obtained for the energy of formation from the pure elements is 0.122 eV per atom. For the total DFT energy (no corrections), the calculation gives -4.809 eV/atom. The value obtained for the density of states at the Fermi level is 0.6970 states/eV/atom.

Geometry as POSCAR:
```
In2FeNi
1.0
3.090 0.000 0.000
0.000 3.090 0.000
0.000 0.000 6.753
In Fe Ni
2 1 1
Cartesian
0.000 0.000 1.621
0.000 0.000 5.132
1.545 1.545 3.377
1.545 1.545 0.000
```

Material: ZnSb2Te2
Method: DFT, GGA-PBE
State: relaxed

Properties
For the total DFT energy (no corrections), the calculation gives -3.034 eV/atom. The value obtained for the density of states at the Fermi level is 0.3998 states/eV/atom.

Geometry as POSCAR:
```
ZnSb2Te2
1.0
8.293 0.000 0.000
0.000 8.293 0.000
0.000 0.000 4.317
Zn Sb Te
2 4 4
Cartesian
0.000 0.000 0.000
4.146 4.146 0.000
1.510 2.637 0.000
2.637 6.783 0.000
5.656 1.510 0.000
6.783 5.656 0.000
1.247 5.393 2.158
2.899 1.247 2.158
5.393 7.046 2.158
7.046 2.899 2.158
```

Material: Sc3TaCo4
Method: DFT, GGA-PBE
State: relaxed

Properties
The value obtained for the energy of formation from the pure elements is -0.322 eV per atom. For the total DFT energy (no corrections), the calculation gives -7.731 eV/atom. The value obtained for the density of states at the Fermi level is 0.5406 states/eV/atom.

Geometry as POSCAR:
```
Sc3TaCo4
1.0
3.111 0.000 0.000
0.000 3.111 0.000
0.000 0.000 12.529
Sc Ta Co
3 1 4
Cartesian
0.000 0.000 0.000
0.000 0.000 3.117
0.000 0.000 9.412
0.000 0.000 6.264
1.556 1.556 1.608
1.556 1.556 4.890
1.556 1.556 7.639
1.556 1.556 10.920
```

Material: VBI3
Method: DFT, GGA-PBE
State: relaxed

Properties
For the total DFT energy (no corrections), the calculation gives -3.090 eV/atom. The value obtained for the density of states at the Fermi level is 1.3594 states/eV/atom.

Geometry as POSCAR:
```
VBI3
1.0
5.127 0.000 0.000
0.000 5.127 0.000
0.000 0.000 5.127
V B I
1 1 3
Cartesian
0.000 0.000 0.000
2.563 2.563 2.563
0.000 2.563 2.563
2.563 0.000 2.563
2.563 2.563 0.000
```

Material: PrErBeCu
Method: DFT, GGA-PBE
State: relaxed

Properties
The value obtained for the energy of formation from the pure elements is 0.001 eV per atom. For the total DFT energy (no corrections), the calculation gives -4.290 eV/atom. The value obtained for the density of states at the Fermi level is 0.5214 states/eV/atom.

Geometry as POSCAR:
```
PrErBeCu
1.0
0.000 3.508 3.508
3.508 0.000 3.508
3.508 3.508 0.000
Pr Er Be Cu
1 1 1 1
Cartesian
0.000 0.000 0.000
3.508 3.508 3.508
1.754 1.754 1.754
5.263 5.263 5.263
```

Material: LiPuPt
Method: DFT, GGA-PBE
State: relaxed

Properties
The value obtained for the energy of formation from the pure elements is -0.387 eV per atom. For the total DFT energy (no corrections), the calculation gives -7.816 eV/atom. The value obtained for the density of states at the Fermi level is 3.0089 states/eV/atom.

Geometry as POSCAR:
```
LiPuPt
1.0
-1.724 1.724 4.881
1.724 -1.724 4.881
1.724 1.724 -4.881
Li Pu Pt
1 1 1
Cartesian
0.000 0.000 0.000
0.000 0.000 2.853
0.000 0.000 6.017
```